No. 1
A relaxed structure of GdDy2Ag, computed with PBE.

Unit cell a=7.5865 b=7.5865 c=7.5865 alpha=90.00 beta=90.00 gamma=90.00
Closest atoms and distances in Å follow each position.
Space group Fm-3m (No. 225)
One atom of each set of equivalent atoms:
Gd1 0.0000 0.0000 0.0000 x4  8 Dy 3.29
Dy1 0.2500 0.2500 0.2500 x8  4 Gd 3.29, 4 Ag 3.29
Ag1 0.0000 0.0000 0.5000 x4  8 Dy 3.29

Computed properties:
Calculated density: 8977 kg/m3
Energy above the most stable polymorph in this dataset: 0.191 eV per atom

No. 2
A relaxed structure of Gd2DyAg, computed with PBE.

Unit cell a=3.5740 b=3.5740 c=31.6337 alpha=90.00 beta=90.00 gamma=120.00
Closest atoms and distances in Å follow each position.
Space group R-3m (No. 166, hexagonal axes)
One atom of each set of equivalent atoms:
Gd1 0.0000 0.0000 0.2419 x6  3 Ag 3.15
Dy1 0.0000 0.0000 0.0000 x3  6 Gd 3.55, 6 Dy 3.57
Ag1 0.0000 0.0000 0.5000 x3  6 Gd 3.15

Computed properties:
Calculated density: 8326 kg/m3
Energy above the most stable polymorph in this dataset: 0.108 eV per atom

No. 3
A relaxed structure of GdDyAg, computed with PBE.

Unit cell a=5.0670 b=5.0670 c=3.6486 alpha=90.00 beta=90.00 gamma=120.00
Closest atoms and distances in Å follow each position.
Space group P3m1 (No. 156)
One atom of each set of equivalent atoms:
Gd1 0.0000 0.0000 0.0000 x1  3 Ag 3.13, 3 Dy 3.35
Dy1 0.6667 0.3333 0.4496 x1  3 Ag 3.06, 3 Gd 3.35
Ag1 0.3333 0.6667 0.6974 x1  3 Dy 3.06, 3 Gd 3.13

Computed properties:
Calculated density: 8753 kg/m3
Energy above the most stable polymorph in this dataset: 0.161 eV per atom

No. 4
A relaxed structure of Gd2DyAg, computed with PBE.

Unit cell a=5.4641 b=5.4641 c=3.7348 alpha=90.00 beta=90.00 gamma=90.00
Closest atoms and distances in Å follow each position.
Space group P4/mmm (No. 123)
One atom of each set of equivalent atoms:
Gd1 0.0000 0.5000 0.0000 x2  4 Dy 3.31, 4 Ag 3.31
Dy1 0.0000 0.0000 0.5000 x1  8 Gd 3.31
Ag1 0.5000 0.5000 0.5000 x1  8 Gd 3.31

Computed properties:
Calculated density: 8710 kg/m3
Energy above the most stable polymorph in this dataset: 0.106 eV per atom

No. 5
A relaxed structure of GdDy2Ag, computed with PBE.

Unit cell a=3.5741 b=3.5741 c=8.8451 alpha=90.00 beta=90.00 gamma=90.00
Closest atoms and distances in Å follow each position.
Space group P4/mmm (No. 123)
One atom of each set of equivalent atoms:
Gd1 0.0000 0.0000 0.0000 x1  4 Gd 3.57, 8 Dy 3.59
Dy1 0.5000 0.5000 0.2881 x2  4 Ag 3.15
Ag1 0.0000 0.0000 0.5000 x1  8 Dy 3.15

Computed properties:
Calculated density: 8673 kg/m3
Energy above the most stable polymorph in this dataset: 0.000 eV per atom

No. 6
A relaxed structure of Gd2DyAg, computed with PBE.

Unit cell a=3.6277 b=3.6277 c=8.7047 alpha=90.00 beta=90.00 gamma=90.00
Closest atoms and distances in Å follow each position.
Space group P4/mmm (No. 123)
One atom of each set of equivalent atoms:
Gd1 0.0000 0.0000 0.2161 x2  4 Ag 3.18, 4 Dy 3.56
Dy1 0.5000 0.5000 0.5000 x1  8 Gd 3.56, 4 Dy 3.63
Ag1 0.5000 0.5000 0.0000 x1  8 Gd 3.18

Computed properties:
Calculated density: 8478 kg/m3
Energy above the most stable polymorph in this dataset: 0.000 eV per atom

No. 7
A relaxed structure of GdDyAg, computed with PBE.

Unit cell a=3.6281 b=3.6281 c=12.3852 alpha=90.00 beta=90.00 gamma=90.00
Closest atoms and distances in Å follow each position.
Space group I4mm (No. 107)
One atom of each set of equivalent atoms:
Gd1 0.0000 0.0000 0.0000 x2  4 Ag 3.21, 4 Dy 3.57
Dy1 0.0000 0.0000 0.2991 x2  4 Ag 3.12
Ag1 0.0000 0.0000 0.6557 x2  4 Dy 3.12, 4 Gd 3.21

Computed properties:
Calculated density: 8711 kg/m3
Energy above the most stable polymorph in this dataset: 0.000 eV per atom

No. 8
A relaxed structure of GdDy2Ag, computed with PBE.

Unit cell a=5.4321 b=5.4321 c=3.7018 alpha=90.00 beta=90.00 gamma=90.00
Closest atoms and distances in Å follow each position.
Space group P4/mmm (No. 123)
One atom of each set of equivalent atoms:
Gd1 0.0000 0.0000 0.0000 x1  8 Dy 3.29
Dy1 0.0000 0.5000 0.5000 x2  4 Gd 3.29, 4 Ag 3.29
Ag1 0.5000 0.5000 0.0000 x1  8 Dy 3.29

Computed properties:
Calculated density: 8971 kg/m3
Energy above the most stable polymorph in this dataset: 0.128 eV per atom

No. 9
A relaxed structure of GdDyAgHg, computed with PBE.

Unit cell a=7.3903 b=7.3903 c=7.3903 alpha=90.00 beta=90.00 gamma=90.00
Closest atoms and distances in Å follow each position.
Space group F-43m (No. 216)
One atom of each set of equivalent atoms:
Gd1 0.0000 0.0000 0.0000 x4  4 Hg 3.20, 4 Ag 3.20
Dy1 0.0000 0.0000 0.5000 x4  4 Ag 3.20, 4 Hg 3.20
Ag1 0.2500 0.2500 0.2500 x4  4 Gd 3.20, 4 Dy 3.20
Hg1 0.2500 0.2500 0.7500 x4  4 Gd 3.20, 4 Dy 3.20

Computed properties:
Calculated density: 10338 kg/m3
Electronic total energy: -5.860 eV/atom

No. 10
A relaxed structure of GdDyHoAg, computed with PBE.

Unit cell a=7.5746 b=7.5746 c=7.5746 alpha=90.00 beta=90.00 gamma=90.00
Closest atoms and distances in Å follow each position.
Space group F-43m (No. 216)
One atom of each set of equivalent atoms:
Gd1 0.0000 0.0000 0.0000 x4  4 Dy 3.28, 4 Ho 3.28
Dy1 0.2500 0.2500 0.2500 x4  4 Gd 3.28, 4 Ag 3.28
Ho1 0.2500 0.2500 0.7500 x4  4 Gd 3.28, 4 Ag 3.28
Ag1 0.0000 0.0000 0.5000 x4  4 Dy 3.28, 4 Ho 3.28

Computed properties:
Calculated density: 9056 kg/m3
Electronic total energy: -6.458 eV/atom

No. 11
A relaxed structure of GdDyAgIr, computed with PBE.

Unit cell a=7.0669 b=7.0669 c=7.0669 alpha=90.00 beta=90.00 gamma=90.00
Closest atoms and distances in Å follow each position.
Space group F-43m (No. 216)
One atom of each set of equivalent atoms:
Gd1 0.0000 0.0000 0.0000 x4  4 Ir 3.06, 4 Ag 3.06
Dy1 0.0000 0.0000 0.5000 x4  4 Ag 3.06, 4 Ir 3.06
Ag1 0.2500 0.2500 0.7500 x4  4 Gd 3.06, 4 Dy 3.06
Ir1 0.2500 0.2500 0.2500 x4  4 Gd 3.06, 4 Dy 3.06

Computed properties:
Calculated density: 11665 kg/m3
Electronic total energy: -8.168 eV/atom

No. 12
A relaxed structure of LiGdDyAg, computed with PBE.

Unit cell a=7.3336 b=7.3336 c=7.3336 alpha=90.00 beta=90.00 gamma=90.00
Closest atoms and distances in Å follow each position.
Space group F-43m (No. 216)
One atom of each set of equivalent atoms:
Li1 0.0000 0.0000 0.0000 x4  4 Gd 3.18, 4 Dy 3.18
Gd1 0.2500 0.2500 0.7500 x4  4 Ag 3.18, 4 Li 3.18
Dy1 0.2500 0.2500 0.2500 x4  4 Li 3.18, 4 Ag 3.18
Ag1 0.0000 0.0000 0.5000 x4  4 Dy 3.18, 4 Gd 3.18

Computed properties:
Calculated density: 7318 kg/m3
Electronic total energy: -5.954 eV/atom

No. 13
A relaxed structure of GdDyLuAg, computed with PBE.

Unit cell a=7.5664 b=7.5664 c=7.5664 alpha=90.00 beta=90.00 gamma=90.00
Closest atoms and distances in Å follow each position.
Space group F-43m (No. 216)
One atom of each set of equivalent atoms:
Gd1 0.0000 0.0000 0.0000 x4  4 Lu 3.28, 4 Ag 3.28
Dy1 0.0000 0.0000 0.5000 x4  4 Lu 3.28, 4 Ag 3.28
Lu1 0.2500 0.2500 0.2500 x4  4 Gd 3.28, 4 Dy 3.28
Ag1 0.2500 0.2500 0.7500 x4  4 Gd 3.28, 4 Dy 3.28

Computed properties:
Calculated density: 9240 kg/m3
Electronic total energy: -6.477 eV/atom

No. 14
A relaxed structure of GdDyMgAg, computed with PBE.

Unit cell a=7.4431 b=7.4431 c=7.4431 alpha=90.00 beta=90.00 gamma=90.00
Closest atoms and distances in Å follow each position.
Space group F-43m (No. 216)
One atom of each set of equivalent atoms:
Gd1 0.0000 0.0000 0.0000 x4  4 Mg 3.22, 4 Ag 3.22
Dy1 0.0000 0.0000 0.5000 x4  4 Mg 3.22, 4 Ag 3.22
Mg1 0.2500 0.2500 0.7500 x4  4 Gd 3.22, 4 Dy 3.22
Ag1 0.2500 0.2500 0.2500 x4  4 Gd 3.22, 4 Dy 3.22

Computed properties:
Calculated density: 7280 kg/m3
Electronic total energy: -5.934 eV/atom

No. 15
A relaxed structure of GdDyMnAg, computed with PBE.

Unit cell a=7.2378 b=7.2378 c=7.2378 alpha=90.00 beta=90.00 gamma=90.00
Closest atoms and distances in Å follow each position.
Space group F-43m (No. 216)
One atom of each set of equivalent atoms:
Gd1 0.0000 0.0000 0.0000 x4  4 Mn 3.13, 4 Ag 3.13
Dy1 0.0000 0.0000 0.5000 x4  4 Ag 3.13, 4 Mn 3.13
Mn1 0.2500 0.2500 0.2500 x4  4 Gd 3.13, 4 Dy 3.13
Ag1 0.2500 0.2500 0.7500 x4  4 Gd 3.13, 4 Dy 3.13

Computed properties:
Calculated density: 8454 kg/m3
Electronic total energy: -7.654 eV/atom